Entry i
DFT (PBE with a Hubbard U) results for a geometry-optimized SrMoNF2 structure.

The calculation puts the total magnetic moment at 0.841 μB/atom.

Cell lengths 4.4739, 4.4739, 4.9839 Å; angles 90.00, 90.00, 90.00 degrees
Fractional coordinates of all 5 atoms:
Mo (0.5000, 0.5000, 0.5000)
F (0.0000, 0.5000, 0.0000)
F (0.5000, 0.0000, 0.0000)
Sr (0.0000, 0.0000, 0.0000)
N (0.0000, 0.0000, 0.5000)

Entry ii
DFT (PBE with a Hubbard U) results for a geometry-optimized SrMoNF2 structure.

The calculation puts the total magnetic moment at 0.198 μB/atom.

Cell lengths 4.3539, 4.3539, 4.0669 Å; angles 90.00, 90.00, 90.00 degrees
Fractional coordinates of all 5 atoms:
F (0.0000, 0.5000, 0.0000)
F (0.5000, 0.0000, 0.0000)
Sr (0.5000, 0.5000, 0.5000)
N (0.0000, 0.0000, 0.5000)
Mo (0.0000, 0.0000, 0.0000)

Last place for stability: entry i

Entry i
DFT (PBE with a Hubbard U) results for a geometry-optimized TaMoN2F structure.

The calculation puts the total magnetic moment at 0.498 μB/atom.

Cell lengths 4.0717, 4.0717, 3.8964 Å; angles 90.00, 90.00, 90.00 degrees
Fractional coordinates of all 5 atoms:
F (0.0000, 0.0000, 0.5000)
N (0.5000, 0.0000, 0.0000)
N (0.0000, 0.5000, 0.0000)
Mo (0.0000, 0.0000, 0.0000)
Ta (0.5000, 0.5000, 0.5000)

Entry ii
DFT (PBE with a Hubbard U) results for a geometry-optimized TaMoN2F structure.

The calculation puts the total magnetic moment at 0.787 μB/atom.

Cell lengths 4.1045, 4.1045, 4.0141 Å; angles 90.00, 90.00, 90.00 degrees
Fractional coordinates of all 5 atoms:
Ta (0.0000, 0.0000, 0.0000)
F (0.0000, 0.0000, 0.5000)
Mo (0.5000, 0.5000, 0.5000)
N (0.0000, 0.5000, 0.0000)
N (0.5000, 0.0000, 0.0000)

Last place for stability: entry i